one.
## ZrFeMo2 (GGA-PBE)

Data for a relaxed ZrFeMo2 crystal.

Values from the calculation:
The calculation puts the magnetization at 0.0 μB/f.u. The calculation puts the density of states at the Fermi level at 5.06 states/eV/f.u.

Cell: 5.764 5.764 5.764 Å, 101.36 101.36 127.31°
Positions (direct):
Zr  0.000  0.000  0.000
Zr  0.750  0.250  0.500
Fe  0.250  0.750  0.500
Fe  0.500  0.500  0.000
Mo  0.174  0.625  0.049
Mo  0.375  0.424  0.549
Mo  0.576  0.125  0.951
Mo  0.875  0.826  0.451

***

two.
## ZrFeMo2 (GGA-PBE)

Data for a relaxed ZrFeMo2 crystal.

Values from the calculation:
The calculation puts the magnetization at 1.6 μB/f.u. The calculation puts the density of states at the Fermi level at 3.94 states/eV/f.u.

Cell: 5.310 5.310 2.773 Å, 100.00 100.00 118.56°
Positions (direct):
Zr  0.000  0.000  0.000
Fe  0.500  0.500  0.000
Mo  0.000  0.500  0.500
Mo  0.500  0.000  0.500

***

Which structure is the least stable? The one labeled one.

***

one.
## ZrFeMo2 (GGA-PBE)

Data for a relaxed ZrFeMo2 crystal.

Values from the calculation:
The calculation puts the magnetization at 1.3 μB/f.u. The calculation puts the density of states at the Fermi level at 3.84 states/eV/f.u.

Cell: 3.195 3.195 6.337 Å, 90.00 90.00 90.00°
Positions (direct):
Zr  0.000  0.000  0.000
Fe  0.500  0.500  0.255
Mo  0.000  0.000  0.487
Mo  0.500  0.500  0.719

***

two.
## ZrFeMo2 (GGA-PBE)

Data for a relaxed ZrFeMo2 crystal.

Values from the calculation:
The calculation puts the magnetization at 2.2 μB/f.u. The calculation puts the density of states at the Fermi level at 4.53 states/eV/f.u.

Cell: 5.363 5.363 2.665 Å, 90.00 90.00 120.09°
Positions (direct):
Zr  0.000  0.000  0.000
Fe  0.500  0.500  0.000
Mo  0.000  0.500  0.500
Mo  0.500  0.000  0.500

***

three.
## ZrFeMo2 (GGA-PBE)

Data for a relaxed ZrFeMo2 crystal.

Values from the calculation:
The calculation puts the magnetization at 1.5 μB/f.u. The calculation puts the density of states at the Fermi level at 3.38 states/eV/f.u.

Cell: 8.460 8.460 8.460 Å, 20.84 20.84 20.84°
Positions (direct):
Zr  0.000  0.000  0.000
Fe  0.752  0.752  0.752
Mo  0.240  0.240  0.240
Mo  0.495  0.495  0.495

***

Which structure is the least stable? The one labeled two.